Density functional theory data (PBE with a Hubbard U) for crystalline MnPtO2 at its relaxed geometry.

volume	11.364	Å³/atom
symmetry	No. 225
DFT total energy	-6.01	eV/atom
DOS(E_F)	3.34	states/eV/f.u.

```
4
Lattice="0.000 2.833 2.833 2.833 0.000 2.833 2.833 2.833 0.000" Properties=species:S:1:pos:R:3 pbc="T T T"
Mn 0.000 0.000 0.000
O 1.416 1.416 1.416
Pt 2.833 2.833 2.833
O 4.249 4.249 4.249
```